No. 1
Here is a relaxed structure of Tl3Pt from Alexandria. Energies are from GGA-PBE.

Properties
DOS at the Fermi energy ... 1.97 states/eV/f.u.
ΔE to the lowest computed polymorph ... 0.004 eV/atom

Lattice parameters (Å, degrees): 5.760 11.827 11.827 90.00 90.00 90.00
Fractional positions:
Tl 0.510 0.390 0.920
Pt 0.268 0.457 0.715
Tl 0.730 0.028 0.864
Tl 0.000 0.177 0.274
Tl 0.990 0.890 0.420
Tl 0.230 0.364 0.472
Tl 0.500 0.774 0.323
Tl 0.000 0.823 0.726
Tl 0.270 0.864 0.972
Tl 0.490 0.920 0.610
Pt 0.768 0.215 0.043
Pt 0.732 0.715 0.543
Tl 0.500 0.677 0.774
Pt 0.232 0.957 0.215
Tl 0.770 0.472 0.636
Tl 0.510 0.610 0.080
Tl 0.010 0.580 0.890
Pt 0.768 0.785 0.957
Tl 0.770 0.528 0.364
Pt 0.732 0.285 0.457
Tl 0.990 0.110 0.580
Tl 0.730 0.972 0.136
Tl 0.010 0.420 0.110
Pt 0.268 0.543 0.285
Tl 0.270 0.136 0.028
Pt 0.232 0.043 0.785
Tl 0.500 0.226 0.677
Tl 0.000 0.274 0.823
Tl 0.000 0.726 0.177
Tl 0.230 0.636 0.528
Tl 0.490 0.080 0.390
Tl 0.500 0.323 0.226

No. 2
Here is a relaxed structure of TlPt from Alexandria. Energies are from GGA-PBE.

Properties
DOS at the Fermi energy ... 1.74 states/eV/f.u.
Total energy ... -4.1149 eV/atom

Lattice parameters (Å, degrees): 10.332 10.332 3.985 90.00 90.00 90.00
Fractional positions:
Pt 0.607 0.079 0.500
Tl 0.041 0.206 0.000
Pt 0.568 0.884 0.000
Tl 0.316 0.266 0.500
Tl 0.734 0.316 0.500
Pt 0.116 0.568 0.000
Tl 0.794 0.041 0.000
Tl 0.206 0.959 0.000
Tl 0.959 0.794 0.000
Pt 0.079 0.393 0.500
Tl 0.684 0.734 0.500
Pt 0.432 0.116 0.000
Tl 0.266 0.684 0.500
Pt 0.884 0.432 0.000
Pt 0.921 0.607 0.500
Pt 0.393 0.921 0.500

| no. | mass density (g/cm³) | magnetic moment (μB/f.u.) |
| --- | --- | --- |
| 1 | 13.326 | 0.0 |
| 2 | 12.475 | 0.0 |